# LaTeOsI2

A relaxed LaTeOsI2 crystal (PBE-GGA, Alexandria via LeMat-Bulk).

It has space group P4/mmm (No. 123), with a = 5.291 Å, b = 5.291 Å, c = 5.393 Å, α = 90.00°, β = 90.00° and γ = 90.00°. The distinct sites, in fractional coordinates, are La at (0.000, 0.000, 0.000), Te at (0.500, 0.500, 0.000), Os at (0.500, 0.500, 0.500) and I at (0.000, 0.500, 0.500).

The formation energy (no corrections) comes out at 0.107 eV per formula unit. The excess energy over the best structure of this formula in the dataset comes out at 0 meV/atom.


# La2FeCCl

A relaxed La2FeCCl crystal (PBE-GGA, Alexandria via LeMat-Bulk).

It has space group P4/mmm (No. 123), with a = 5.326 Å, b = 5.326 Å, c = 3.639 Å, α = 90.00°, β = 90.00° and γ = 90.00°. The distinct sites, in fractional coordinates, are La at (0.000, 0.500, 0.000), Fe at (0.000, 0.000, 0.500), C at (0.000, 0.000, 0.000) and Cl at (0.500, 0.500, 0.500).

The formation energy (no corrections) comes out at -2.970 eV per formula unit.


# Tb2Tm3ScBi6

A relaxed Tb2Tm3ScBi6 crystal (PBE-GGA, Alexandria via LeMat-Bulk).

It has space group C2/m (No. 12), with a = 19.291 Å, b = 4.427 Å, c = 8.859 Å, α = 90.00°, β = 103.24° and γ = 90.00°. The distinct sites, in fractional coordinates, are Tb at (0.165, 0.000, 0.332), Tm at (0.000, 0.500, 0.500), Tm at (0.169, 0.000, 0.834), Sc at (0.000, 0.500, 0.000), Bi at (0.002, 0.000, 0.759), Bi at (0.163, 0.500, 0.078) and Bi at (0.166, 0.500, 0.586).

As for the energy relative to the elements: -0.79 eV/atom.


# K2Tl2Cd

A relaxed K2Tl2Cd crystal (PBE-GGA, Alexandria via LeMat-Bulk).

It has space group I4/mmm (No. 139), with a = 4.488 Å, b = 4.488 Å, c = 20.761 Å, α = 90.00°, β = 90.00° and γ = 90.00°. The distinct sites, in fractional coordinates, are K at (0.000, 0.000, 0.101), Tl at (0.000, 0.500, 0.250) and Cd at (0.000, 0.000, 0.500).

The excess energy over the best structure of this formula in the dataset comes out at 95 meV/atom. As for the energy relative to the elements: 0.01 eV/atom.


| no. | total magnetization (μB per cell) |
| --- | --- |
| 1 | 0.02 |
| 2 | 0.00 |
| 3 | 0.00 |
| 4 | 0.00 |